Entry 1:
# Pr2DyY2Ho2 | Alexandria via LeMat-Bulk | GGA-PBE | relaxed
data_Pr2DyY2Ho2
_cell_length_a 11.807
_cell_length_b 3.529
_cell_length_c 11.877
_cell_angle_alpha 90.00
_cell_angle_beta 108.77
_cell_angle_gamma 90.00
_symmetry_space_group_name_H-M 'C 1 2/m 1'
_symmetry_Int_Tables_number 12
loop_
_symmetry_equiv_pos_as_xyz
'x,y,z'
'-x,-y,-z'
'-x,y,-z'
'x,-y,z'
'x+1/2,y+1/2,z'
'-x+1/2,-y+1/2,-z'
'-x+1/2,y+1/2,-z'
'x+1/2,-y+1/2,z'
loop_
_atom_site_label
_atom_site_type_symbol
_atom_site_fract_x
_atom_site_fract_y
_atom_site_fract_z
_atom_site_occupancy
Pr1 Pr 0.172 0.000 0.086 1
Dy1 Dy 0.000 0.500 0.500 1
Y1 Y 0.048 0.000 0.769 1
Ho1 Ho 0.228 0.500 0.366 1
# crystal system	monoclinic
# energy of formation	0.084	eV per atom

***

Entry 2:
# AlV4Ga | Alexandria via LeMat-Bulk | GGA-PBE | relaxed
data_AlV4Ga
_cell_length_a 4.432
_cell_length_b 8.586
_cell_length_c 4.438
_cell_angle_alpha 90.00
_cell_angle_beta 90.00
_cell_angle_gamma 90.00
_symmetry_space_group_name_H-M 'C m m m'
_symmetry_Int_Tables_number 65
_symmetry_space_group_name_Hall '-C 2 2'
loop_
_atom_site_label
_atom_site_type_symbol
_atom_site_fract_x
_atom_site_fract_y
_atom_site_fract_z
_atom_site_occupancy
Al1 Al 0.000 0.000 0.000 1
V1 V 0.000 0.179 0.500 1
V2 V 0.000 0.318 0.000 1
Ga1 Ga 0.000 0.500 0.500 1
# crystal system	orthorhombic
# energy above the most stable polymorph in this dataset	0	meV per atom
# energy of formation	-0.190	eV per atom

***

Entry 3:
# SrLi2Au | Alexandria via LeMat-Bulk | GGA-PBE | relaxed
data_SrLi2Au
_cell_length_a 4.401
_cell_length_b 4.401
_cell_length_c 5.210
_cell_angle_alpha 90.00
_cell_angle_beta 90.00
_cell_angle_gamma 90.00
_symmetry_space_group_name_H-M 'P 4/m m m'
_symmetry_Int_Tables_number 123
_symmetry_space_group_name_Hall '-P 4 2'
loop_
_atom_site_label
_atom_site_type_symbol
_atom_site_fract_x
_atom_site_fract_y
_atom_site_fract_z
_atom_site_occupancy
Sr1 Sr 0.000 0.000 0.000 1
Li1 Li 0.000 0.500 0.500 1
Au1 Au 0.500 0.500 0.000 1
# crystal system	tetragonal
# energy above the most stable polymorph in this dataset	150	meV per atom
# energy of formation	-0.277	eV per atom

***

Entry 4:
# CuRh | Alexandria via LeMat-Bulk | GGA-PBE | relaxed
data_CuRh
_cell_length_a 3.991
_cell_length_b 7.794
_cell_length_c 14.797
_cell_angle_alpha 90.00
_cell_angle_beta 90.00
_cell_angle_gamma 90.00
_symmetry_space_group_name_H-M 'F d d d'
_symmetry_Int_Tables_number 70
loop_
_symmetry_equiv_pos_as_xyz
'x,y,z'
'-x,-y,-z'
'-x+1/4,-y+1/4,z'
'x+1/4,y+1/4,-z'
'x,-y+1/4,-z+1/4'
'-x,y+1/4,z+1/4'
'-x+1/4,y,-z+1/4'
'x+1/4,-y,z+1/4'
'x,y+1/2,z+1/2'
'-x,-y+1/2,-z+1/2'
'-x+1/4,-y+3/4,z+1/2'
'x+1/4,y+3/4,-z+1/2'
'x,-y+3/4,-z+3/4'
'-x,y+3/4,z+3/4'
'-x+1/4,y+1/2,-z+3/4'
'x+1/4,-y+1/2,z+3/4'
'x+1/2,y,z+1/2'
'-x+1/2,-y,-z+1/2'
'-x+3/4,-y+1/4,z+1/2'
'x+3/4,y+1/4,-z+1/2'
'x+1/2,-y+1/4,-z+3/4'
'-x+1/2,y+1/4,z+3/4'
'-x+3/4,y,-z+3/4'
'x+3/4,-y,z+3/4'
'x+1/2,y+1/2,z'
'-x+1/2,-y+1/2,-z'
'-x+3/4,-y+3/4,z'
'x+3/4,y+3/4,-z'
'x+1/2,-y+3/4,-z+1/4'
'-x+1/2,y+3/4,z+1/4'
'-x+3/4,y+1/2,-z+1/4'
'x+3/4,-y+1/2,z+1/4'
loop_
_atom_site_label
_atom_site_type_symbol
_atom_site_fract_x
_atom_site_fract_y
_atom_site_fract_z
_atom_site_occupancy
Cu1 Cu 0.125 0.285 0.125 1
Rh1 Rh 0.125 0.125 0.539 1
# crystal system	orthorhombic
# energy of formation	0.303	eV per atom

***

Entry 5:
# NaTiAu | Alexandria via LeMat-Bulk | GGA-PBE | relaxed
data_NaTiAu
_cell_length_a 3.1194
_cell_length_b 3.1194
_cell_length_c 43.7761
_cell_angle_alpha 90.00
_cell_angle_beta 90.00
_cell_angle_gamma 120.00
_symmetry_space_group_name_H-M 'R -3 m'
_symmetry_Int_Tables_number 166
_symmetry_space_group_name_Hall '-R 3 2"'
loop_
_atom_site_label
_atom_site_type_symbol
_atom_site_fract_x
_atom_site_fract_y
_atom_site_fract_z
_atom_site_occupancy
Na1 Na 0.0000 0.0000 0.1305 1
Ti1 Ti 0.0000 0.0000 0.3093 1
Au1 Au 0.0000 0.0000 0.4063 1
# crystal system	trigonal
# energy of formation	-0.069	eV per atom

***

Entry 6:
# KRb3La | Alexandria via LeMat-Bulk | GGA-PBE | relaxed
data_KRb3La
_cell_length_a 7.541
_cell_length_b 7.541
_cell_length_c 7.541
_cell_angle_alpha 90.00
_cell_angle_beta 90.00
_cell_angle_gamma 90.00
_symmetry_space_group_name_H-M 'P m -3 m'
_symmetry_Int_Tables_number 221
_symmetry_space_group_name_Hall '-P 4 2 3'
loop_
_atom_site_label
_atom_site_type_symbol
_atom_site_fract_x
_atom_site_fract_y
_atom_site_fract_z
_atom_site_occupancy
K1 K 0.000 0.000 0.000 1
Rb1 Rb 0.000 0.500 0.500 1
La1 La 0.500 0.500 0.500 1
# crystal system	cubic
# energy of formation	0.673	eV per atom

***

Entry 7:
# GaHgBi2H | Alexandria via LeMat-Bulk | GGA-PBE | relaxed
data_GaHgBi2H
_cell_length_a 5.873
_cell_length_b 5.873
_cell_length_c 3.387
_cell_angle_alpha 90.00
_cell_angle_beta 90.00
_cell_angle_gamma 90.00
_symmetry_space_group_name_H-M 'P 4/m m m'
_symmetry_Int_Tables_number 123
_symmetry_space_group_name_Hall '-P 4 2'
loop_
_atom_site_label
_atom_site_type_symbol
_atom_site_fract_x
_atom_site_fract_y
_atom_site_fract_z
_atom_site_occupancy
Ga1 Ga 0.000 0.000 0.000 1
Hg1 Hg 0.500 0.500 0.500 1
Bi1 Bi 0.000 0.500 0.000 1
H1 H 0.000 0.000 0.500 1
# crystal system	tetragonal

***

Entry 8:
# CdHg2Pb | Alexandria via LeMat-Bulk | GGA-PBE | relaxed
data_CdHg2Pb
_cell_length_a 11.319
_cell_length_b 3.281
_cell_length_c 5.819
_cell_angle_alpha 90.00
_cell_angle_beta 100.99
_cell_angle_gamma 90.00
_symmetry_space_group_name_H-M 'C 1 m 1'
_symmetry_Int_Tables_number 8
loop_
_symmetry_equiv_pos_as_xyz
'x,y,z'
'x,-y,z'
'x+1/2,y+1/2,z'
'x+1/2,-y+1/2,z'
loop_
_atom_site_label
_atom_site_type_symbol
_atom_site_fract_x
_atom_site_fract_y
_atom_site_fract_z
_atom_site_occupancy
Cd1 Cd 0.000 0.000 0.000 1
Hg1 Hg 0.008 0.500 0.515 1
Hg2 Hg 0.265 0.000 0.768 1
Pb1 Pb 0.246 0.500 0.263 1
# crystal system	monoclinic
# energy of formation	0.035	eV per atom

***

For reference, uncorrected energy by record: -71.31, -88.77, -9.89, -173.46, -76.18, -5.56, -13.65, -10.17 eV per cell.